A plane-wave DFT calculation with PBE was carried out for Cs4TeN4 after structural relaxation.

Cell lengths 8.1613, 8.1613, 8.1613 Å; angles 105.88, 105.88, 116.92 degrees
Element x y z (fractional)
Cs (0.2214, 0.7386, 0.9599)
Cs (0.2614, 0.2214, 0.4828)
Cs (0.7386, 0.7786, 0.5172)
Cs (0.7786, 0.2614, 0.0401)
Te (0.5000, 0.5000, 0.0000)
N (0.0423, 0.4580, 0.5002)
N (0.4580, 0.9577, 0.4157)
N (0.5420, 0.0423, 0.5843)
N (0.9577, 0.5420, 0.4998)

Computed properties:
For the spin magnetization, the calculation gives 0.21 μB/atom. Its total energy is -4.71 eV per atom.